Record 1
# Dy2Zr8O19 (meta-GGA SCAN, single point on PBEsol structure)
data_Dy2Zr8O19
_symmetry_space_group_name_H-M 'P 1'
_symmetry_Int_Tables_number 1
_symmetry_space_group_name_Hall 'P 1'
_cell_length_a 3.6055
_cell_length_b 3.6055
_cell_length_c 25.8439
_cell_angle_alpha 90.00
_cell_angle_beta 90.00
_cell_angle_gamma 90.00
loop_
_atom_site_label
_atom_site_type_symbol
_atom_site_fract_x
_atom_site_fract_y
_atom_site_fract_z
Zr1 Zr 0.0000 0.5000 0.2544
O1 O 0.5000 0.5000 0.9011
O2 O 0.0000 0.0000 0.3091
Dy1 Dy 0.0000 0.5000 0.0583
O3 O 0.0000 0.0000 0.5950
O4 O 0.5000 0.5000 0.6013
O5 O 0.5000 0.5000 0.2980
Zr2 Zr 0.0000 0.5000 0.8445
O6 O 0.0000 0.0000 0.0000
O7 O 0.5000 0.5000 0.7020
O8 O 0.0000 0.0000 0.8866
O9 O 0.0000 0.0000 0.1134
O10 O 0.0000 0.0000 0.2118
Zr3 Zr 0.0000 0.5000 0.4511
Dy2 Dy 0.5000 0.0000 0.9417
O11 O 0.5000 0.5000 0.8021
Zr4 Zr 0.5000 0.0000 0.7456
Zr5 Zr 0.5000 0.0000 0.3530
O12 O 0.0000 0.0000 0.4050
O13 O 0.0000 0.0000 0.5000
O14 O 0.5000 0.5000 0.1979
O15 O 0.5000 0.5000 0.0989
O16 O 0.5000 0.5000 0.3987
O17 O 0.0000 0.0000 0.6909
Zr6 Zr 0.0000 0.5000 0.6470
Zr7 Zr 0.5000 0.0000 0.1555
Zr8 Zr 0.5000 0.0000 0.5489
O18 O 0.0000 0.0000 0.7882
O19 O 0.5000 0.5000 0.5000
# formation energy without anion corrections: -3.737 eV/atom
# calculated density: 6.716 g/cm3

Record 2
# DyOs2 (meta-GGA SCAN, single point on PBEsol structure)
data_DyOs2
_symmetry_space_group_name_H-M 'P 1'
_symmetry_Int_Tables_number 1
_symmetry_space_group_name_Hall 'P 1'
_cell_length_a 5.2436
_cell_length_b 5.2436
_cell_length_c 8.8015
_cell_angle_alpha 90.00
_cell_angle_beta 90.00
_cell_angle_gamma 120.00
loop_
_atom_site_label
_atom_site_type_symbol
_atom_site_fract_x
_atom_site_fract_y
_atom_site_fract_z
Os1 Os 0.1710 0.8290 0.7500
Dy1 Dy 0.6667 0.3333 0.9348
Os2 Os 0.0000 0.0000 0.5000
Dy2 Dy 0.6667 0.3333 0.5652
Dy3 Dy 0.3333 0.6667 0.4348
Os3 Os 0.0000 0.0000 0.0000
Dy4 Dy 0.3333 0.6667 0.0652
Os4 Os 0.1710 0.3420 0.7500
Os5 Os 0.3420 0.1710 0.2500
Os6 Os 0.8290 0.1710 0.2500
Os7 Os 0.6580 0.8290 0.7500
Os8 Os 0.8290 0.6580 0.2500
# ΔE_f: -0.455 eV per atom
# calculated density: 17.208 g/cm3

Record 3
# DySi2Os2 (meta-GGA SCAN, single point on PBEsol structure)
data_DySi2Os2
_symmetry_space_group_name_H-M 'P 1'
_symmetry_Int_Tables_number 1
_symmetry_space_group_name_Hall 'P 1'
_cell_length_a 4.1175
_cell_length_b 4.1175
_cell_length_c 5.6260
_cell_angle_alpha 111.47
_cell_angle_beta 111.47
_cell_angle_gamma 90.00
loop_
_atom_site_label
_atom_site_type_symbol
_atom_site_fract_x
_atom_site_fract_y
_atom_site_fract_z
Si1 Si 0.3737 0.3737 0.7474
Os1 Os 0.2500 0.7500 0.5000
Si2 Si 0.6263 0.6263 0.2526
Os2 Os 0.7500 0.2500 0.5000
Dy1 Dy 0.0000 0.0000 0.0000
# formation energy without anion corrections: -0.812 eV/atom
# calculated density: 12.190 g/cm3